# BaMg6CoO8 GGA+U optimized geometry
data_BaMg6CoO8
_space_group_name_H-M_alt 'P 4/m m m'
_space_group_IT_number 123
_space_group_name_Hall '-P 4 2'
_cell_length_a 4.686
_cell_length_b 4.686
_cell_length_c 8.744
_cell_angle_alpha 90.00
_cell_angle_beta 90.00
_cell_angle_gamma 90.00
loop_
_atom_site_label
_atom_site_type_symbol
_atom_site_fract_x
_atom_site_fract_y
_atom_site_fract_z
Ba1 Ba 0.000 0.000 0.000
Mg1 Mg 0.000 0.500 0.267
Mg2 Mg 0.500 0.500 0.000
Mg3 Mg 0.500 0.500 0.500
Co1 Co 0.000 0.000 0.500
O1 O 0.000 0.000 0.283
O2 O 0.000 0.500 0.000
O3 O 0.000 0.500 0.500
O4 O 0.500 0.500 0.253
# electronic total energy = -5.576 eV per atom
# total magnetization = 3.03 μB per formula unit